# Tm2SO

A relaxed Tm2SO crystal (PBE-GGA, Alexandria).

Computed properties:
- Crystal system: orthorhombic
- Magnetization: 0.08 μB per cell
- N(E_F): 0.92 states/eV/f.u.
- E_tot: -6.744 eV/atom
- ρ: 7.3 g/cm3

a b c (Å): 3.8111 5.2023 8.8229
angles (deg): 90.00 90.00 90.00
Closest atoms and distances in Å follow each position.
Sites, in units of the cell vectors:
1 Tm 0.7010 0.4863 0.2925  1 O 2.22
2 Tm 0.7010 0.5271 0.6966  3 O 2.18-2.26
3 Tm 0.2010 0.0271 0.5193  3 O 2.18-2.26
4 Tm 0.2010 0.9863 0.9235  1 O 2.22
5 S 0.2010 0.1600 0.2158  4 Tm 2.64-2.77
6 S 0.7010 0.6600 0.0002  4 Tm 2.64-2.77
7 O 0.2010 0.7599 0.7103  4 Tm 2.18-2.26
8 O 0.7010 0.2599 0.5057  4 Tm 2.18-2.26

# CaHgSe3

A relaxed CaHgSe3 crystal (PBE-GGA, Alexandria).

Computed properties:
- Crystal system: cubic
- Magnetization: 3.98 μB per cell
- N(E_F): 3.21 states/eV/f.u.
- E_tot: -2.523 eV/atom
- ρ: 4.4 g/cm3

a b c (Å): 5.6499 5.6499 5.6499
angles (deg): 90.00 90.00 90.00
Closest atoms and distances in Å follow each position.
Sites, in units of the cell vectors:
1 Ca 0.0000 0.0000 0.0000  6 Se 2.82
2 Hg 0.5000 0.5000 0.5000  12 Se 4.00
3 Se 0.0000 0.5000 0.0000  2 Ca 2.82
4 Se 0.0000 0.0000 0.5000  2 Ca 2.82
5 Se 0.5000 0.0000 0.0000  2 Ca 2.82